[1]
Computed, not measured: CdIn2IO8 after structural relaxation at the PBE-GGA level of DFT.

The structure in POSCAR format:
```
CdIn2IO8
1.0
4.872 0.000 0.000
0.000 6.740 0.000
-0.171 0.000 4.875
Cd In I O
1 2 1 8
Direct
0.000 0.000 0.000
0.500 0.253 0.500
0.500 0.747 0.500
0.000 0.500 0.000
0.185 0.292 0.818
0.185 0.708 0.818
0.285 0.500 0.289
0.311 0.000 0.315
0.689 0.000 0.685
0.715 0.500 0.711
0.815 0.292 0.182
0.815 0.708 0.182
```

Computed properties:
- Size of the total moment: 0.308 μB/cell
- Formation energy without anion corrections: -0.822 eV per atom
- Space group: P2/m

***

[2]
Computed, not measured: CdInIO2 after structural relaxation at the PBE-GGA level of DFT.

The structure in POSCAR format:
```
CdInIO2
1.0
4.186 0.000 0.000
0.000 4.186 0.000
0.000 0.000 6.259
Cd In I O
1 1 1 2
Direct
0.000 0.000 0.000
0.500 0.500 0.500
0.500 0.500 0.000
0.000 0.500 0.500
0.500 0.000 0.500
```

Computed properties:
- Size of the total moment: 0.704 μB/cell
- Formation energy without anion corrections: -0.351 eV per atom
- Space group: P4/mmm

***

[3]
Computed, not measured: CdInIO6 after structural relaxation at the PBE-GGA level of DFT.

The structure in POSCAR format:
```
CdInIO6
1.0
5.440 0.000 0.000
-2.720 4.711 0.000
0.000 0.000 9.555
Cd In I O
2 2 2 12
Direct
0.000 0.000 0.000
0.000 0.000 0.500
0.333 0.667 0.250
0.667 0.333 0.750
0.333 0.667 0.750
0.667 0.333 0.250
0.038 0.383 0.636
0.038 0.655 0.864
0.345 0.383 0.864
0.345 0.962 0.636
0.383 0.038 0.136
0.383 0.345 0.364
0.617 0.655 0.636
0.617 0.962 0.864
0.655 0.038 0.364
0.655 0.617 0.136
0.962 0.345 0.136
0.962 0.617 0.364
```

Computed properties:
- Size of the total moment: 0.000 μB/cell
- Formation energy without anion corrections: -0.829 eV per atom
- Space group: P-31c

***

[4]
Computed, not measured: CdInI2O after structural relaxation at the PBE-GGA level of DFT.

The structure in POSCAR format:
```
CdInI2O
1.0
6.093 0.000 0.000
0.000 6.093 0.000
0.000 0.000 3.984
Cd In I O
1 1 2 1
Direct
0.000 0.000 0.000
0.500 0.500 0.500
0.000 0.500 0.500
0.500 0.000 0.500
0.500 0.500 0.000
```

Computed properties:
- Size of the total moment: 0.000 μB/cell
- Formation energy without anion corrections: -0.364 eV per atom
- Space group: P4/mmm

***

[5]
Computed, not measured: PaCdInI6 after structural relaxation at the PBE-GGA level of DFT.

The structure in POSCAR format:
```
PaCdInI6
1.0
8.464 0.000 0.000
-4.232 7.330 0.000
0.000 0.000 15.095
Pa Cd In I
2 2 2 12
Direct
0.333 0.667 0.250
0.667 0.333 0.750
0.000 0.000 0.000
0.000 0.000 0.500
0.333 0.667 0.750
0.667 0.333 0.250
0.041 0.387 0.136
0.041 0.654 0.364
0.346 0.387 0.364
0.346 0.959 0.136
0.387 0.041 0.636
0.387 0.346 0.864
0.613 0.654 0.136
0.613 0.959 0.364
0.654 0.041 0.864
0.654 0.613 0.636
0.959 0.346 0.636
0.959 0.613 0.864
```

Computed properties:
- Size of the total moment: 0.157 μB/cell
- Formation energy without anion corrections: -0.684 eV per atom
- Space group: P-31c

***

[6]
Computed, not measured: CdIn2PbI6 after structural relaxation at the PBE-GGA level of DFT.

The structure in POSCAR format:
```
CdIn2PbI6
1.0
4.199 2.424 7.213
-4.199 2.424 7.213
0.000 -4.848 7.213
Cd In Pb I
1 2 1 6
Direct
0.000 0.000 0.000
0.298 0.298 0.298
0.797 0.797 0.797
0.500 0.500 0.500
0.131 0.343 0.740
0.223 0.861 0.649
0.343 0.740 0.131
0.649 0.223 0.861
0.740 0.131 0.343
0.861 0.649 0.223
```

Computed properties:
- Size of the total moment: 0.000 μB/cell
- Formation energy without anion corrections: -0.506 eV per atom
- Space group: R3

***

Question: Among the records above, which one has the highest size of the total moment?
Answer: CdInIO2